The following is a PBE with a Hubbard U calculation of a relaxed structure of Li4CeV3O12, from the Alexandria database.

**Energy**: -6.468 eV per atom
**Volume**: 393.14 Å³ per cell

a = 7.3257 Å, b = 7.3257 Å, c = 7.3257 Å
α = 90.00°, β = 90.00°, γ = 90.00°
Space group Im-3 (No. 204)
Symmetry-distinct sites (fractional):
Li  0.2500  0.2500  0.2500 x8
Ce  0.0000  0.0000  0.0000 x2
V  0.0000  0.0000  0.5000 x6
O  0.0000  0.3173  0.1673 x24